Material: Dy4ScAl
Method: DFT, PBE-GGA
State: relaxed

Computed properties:
symmetry: No. 15
offset from the most stable computed form: 0 meV per atom
ΔE_f: -1.7 kJ per mole of atoms
total magnetization: 0.000 μB per atom
uncorrected energy: -4.76 eV/atom

```
12
Lattice="6.0556 -0.6264 0.0000 -2.4376 8.4827 0.0000 -1.8090 -3.9282 6.8447" Properties=species:S:1:pos:R:3 pbc="T T T"
Al -2.7327 4.3980 6.8388
Dy -1.1419 5.0584 4.2989
Dy 3.3006 2.0279 1.4706
Sc 0.2951 4.0848 1.3321
Sc 1.5139 -0.1566 5.5126
Dy 1.7321 3.1112 4.2989
Dy 0.0769 0.8170 2.5458
Dy -1.5362 -1.5870 5.3741
Dy -1.4916 1.9002 5.3741
Al 4.5417 -0.4698 0.0059
Dy 3.3452 5.5151 1.4706
Dy 2.9509 -1.1302 2.5458
```